Record 1
The following is a PBE calculation of SmMgGa2 after structural relaxation, from Alexandria via LeMat-Bulk.

Cell: 7.034 4.394 11.518 Å, 90.00 90.00 90.00°
Sites, in units of the cell vectors:
Sm (0.147, 0.250, 0.148)
Sm (0.353, 0.750, 0.648)
Sm (0.647, 0.250, 0.352)
Sm (0.853, 0.750, 0.852)
Mg (0.144, 0.250, 0.446)
Mg (0.356, 0.750, 0.946)
Mg (0.644, 0.250, 0.054)
Mg (0.856, 0.750, 0.554)
Ga (0.027, 0.250, 0.671)
Ga (0.161, 0.250, 0.870)
Ga (0.339, 0.750, 0.370)
Ga (0.473, 0.750, 0.171)
Ga (0.527, 0.250, 0.829)
Ga (0.661, 0.250, 0.630)
Ga (0.839, 0.750, 0.130)
Ga (0.973, 0.750, 0.329)

**Calculated formation energy**: -1.96 eV/f.u.
**Size of the total moment**: 0.00 μB per cell
**SG**: Pnma, No. 62

Record 2
The following is a PBE calculation of Sm2MgGa12 after structural relaxation, from Alexandria via LeMat-Bulk.

Cell: 5.890 5.890 17.538 Å, 90.00 90.00 90.00°
Sites, in units of the cell vectors:
Sm (0.250, 0.750, 0.221)
Sm (0.250, 0.750, 0.779)
Sm (0.750, 0.250, 0.221)
Sm (0.750, 0.250, 0.779)
Mg (0.250, 0.750, 0.500)
Mg (0.750, 0.250, 0.500)
Ga (0.002, 0.502, 0.385)
Ga (0.002, 0.998, 0.615)
Ga (0.068, 0.568, 0.935)
Ga (0.068, 0.932, 0.065)
Ga (0.250, 0.250, 0.149)
Ga (0.250, 0.250, 0.291)
Ga (0.250, 0.250, 0.709)
Ga (0.250, 0.250, 0.851)
Ga (0.432, 0.568, 0.065)
Ga (0.432, 0.932, 0.935)
Ga (0.498, 0.502, 0.615)
Ga (0.498, 0.998, 0.385)
Ga (0.502, 0.002, 0.615)
Ga (0.502, 0.498, 0.385)
Ga (0.568, 0.068, 0.065)
Ga (0.568, 0.432, 0.935)
Ga (0.750, 0.750, 0.149)
Ga (0.750, 0.750, 0.291)
Ga (0.750, 0.750, 0.709)
Ga (0.750, 0.750, 0.851)
Ga (0.932, 0.068, 0.935)
Ga (0.932, 0.432, 0.065)
Ga (0.998, 0.002, 0.385)
Ga (0.998, 0.498, 0.615)

**Calculated formation energy**: -4.53 eV/f.u.
**Size of the total moment**: 0.00 μB per cell
**SG**: P4/nbm, No. 125